Compound: LaCuO3
Source: Alexandria via LeMat-Bulk
Functional: PBE-GGA
Structure: relaxed

The structure in extended XYZ format:
```
10
Lattice="3.3533 -1.9360 0.0000 0.0000 3.8721 0.0000 0.0000 0.0000 11.0539" Properties=species:S:1:pos:R:3 pbc="T T T"
La 0.0000 0.0000 5.5270
O 1.1178 1.9360 6.4826
O 0.0000 0.0000 8.2905
O 0.0000 0.0000 2.7635
Cu 1.1178 1.9360 8.2905
O 1.1178 1.9360 10.0983
O 2.2355 0.0000 4.5713
O 2.2355 0.0000 0.9556
La 0.0000 0.0000 0.0000
Cu 2.2355 0.0000 2.7635
```

---

Compound: MnTeHS2
Source: Alexandria via LeMat-Bulk
Functional: PBE-GGA
Structure: relaxed

The structure in extended XYZ format:
```
5
Lattice="-2.7817 2.9538 -2.1669 0.6786 -1.5688 -3.0096 -3.5506 -2.8437 0.6817" Properties=species:S:1:pos:R:3 pbc="T T T"
H 0.3393 -0.7844 -1.5048
S -1.3909 1.4769 -1.0835
Te -2.8269 -0.7293 -2.2474
S -1.7753 -1.4218 0.3408
Mn 0.0000 0.0000 0.0000
```

---

Compound: Dy4MgHg
Source: Alexandria via LeMat-Bulk
Functional: PBE-GGA
Structure: relaxed

The structure in extended XYZ format:
```
6
Lattice="-1.3844 -1.9650 4.4725 4.3888 -2.5439 0.2408 3.1722 5.8047 3.5322" Properties=species:S:1:pos:R:3 pbc="T T T"
Dy 6.0235 0.7589 5.0878
Hg 5.9553 0.3524 2.0057
Dy 3.0012 0.2349 1.0390
Dy 4.5033 -2.0202 3.3957
Mg 4.6539 3.5431 5.8873
Dy 4.5207 3.0136 2.7310
```

Values from the calculation:
E_form   0.149 eV per atom

---

Compound: AgMo2Au
Source: Alexandria via LeMat-Bulk
Functional: PBE-GGA
Structure: relaxed

The structure in extended XYZ format:
```
4
Lattice="-1.2632 -2.8764 -1.0449 2.8858 -1.4958 0.6292 -1.9082 -1.2564 5.7653" Properties=species:S:1:pos:R:3 pbc="T T T"
Ag -0.9553 -0.6290 2.8863
Au -0.6201 -3.1286 4.1169
Mo 0.3822 -2.4687 1.0887
Mo -0.0464 -0.0306 0.1403
```

Values from the calculation:
E_form   0.311 eV per atom
Offset from the most stable computed form   0.1054 eV per atom

---

Compound: K2TbSbO6
Source: Alexandria via LeMat-Bulk
Functional: PBE-GGA
Structure: relaxed

The structure in extended XYZ format:
```
10
Lattice="6.0340 -0.0001 0.0007 0.0006 6.0339 0.0009 3.0179 3.0175 4.2682" Properties=species:S:1:pos:R:3 pbc="T T T"
O 1.6048 1.6046 0.0006
O 4.6229 7.4469 4.2690
K 3.0180 6.0342 2.1349
K 6.0345 3.0172 2.1348
Sb 3.0173 3.0169 0.0008
O 3.0176 3.0172 1.9980
O 6.0349 6.0342 2.2718
O 7.4476 7.4467 4.2691
O 4.4296 1.6045 0.0008
Tb 0.0000 0.0000 0.0000
```

---

Compound: Rb2InAgO
Source: Alexandria via LeMat-Bulk
Functional: PBE-GGA
Structure: relaxed

The structure in extended XYZ format:
```
5
Lattice="-4.8296 -0.2129 -4.9291 2.9453 -1.2795 -2.8306 -1.3326 -6.5850 1.5901" Properties=species:S:1:pos:R:3 pbc="T T T"
O 1.4727 -0.6398 -1.4153
Ag -1.6085 -4.0387 -3.0848
In 0.0000 0.0000 0.0000
Rb -2.4148 -0.1064 -2.4646
Rb -0.6663 -3.2925 0.7950
```

---

Compound: Pm2NbCrN5
Source: Alexandria via LeMat-Bulk
Functional: PBE-GGA
Structure: relaxed

The structure in extended XYZ format:
```
18
Lattice="3.2903 0.0000 0.0000 -1.6452 7.0326 0.0000 0.0000 0.0000 10.1708" Properties=species:S:1:pos:R:3 pbc="T T T"
N 1.6452 2.1757 5.1373
Pm 0.0000 1.8684 3.2321
N 1.6451 0.0379 2.8971
Cr 0.0000 6.3694 4.5120
Nb 0.0000 2.9495 0.2333
N 0.0000 0.5064 0.2180
N 1.6452 6.5262 5.3034
Pm 1.6452 5.3979 1.9258
N 0.0000 6.9947 7.9825
N 1.6451 2.4790 8.9500
N 1.6452 2.8741 1.6163
N 0.0000 4.1584 6.7017
Cr 1.6452 0.6632 9.5974
Pm 1.6452 5.1642 8.3175
N 0.0000 4.5536 3.8647
Nb 1.6452 4.0831 5.3187
Pm 0.0000 1.6347 7.0112
N 0.0000 4.8569 0.0520
```

---

Compound: ZnReMo
Source: Alexandria via LeMat-Bulk
Functional: PBE-GGA
Structure: relaxed

The structure in extended XYZ format:
```
6
Lattice="-2.5523 3.3005 1.1730 -2.5354 -1.9132 -0.1333 2.1280 -3.2151 5.6700" Properties=species:S:1:pos:R:3 pbc="T T T"
Mo -1.1990 -0.1341 5.7746
Re -2.7486 -0.5729 3.6380
Re -0.2111 -1.2550 3.0717
Zn -1.1846 -2.7520 5.1655
Mo -1.7606 -1.6938 0.9351
Zn -1.7750 0.9241 1.5442
```

Values from the calculation:
E_form   0.152 eV per atom
Offset from the most stable computed form   0.0561 eV per atom

---

We obtain VASP energy values of -67.10 -22.64 -19.41 -26.55 -59.05 -13.08 -160.58 -48.20 eV for the cell shown for the records listed above, in that order.
We obtain Fermi-level density of states values of 0.228 1.008 1.194 0.647 0.278 0.377 0.264 0.698 states/eV/atom for the records listed above, in that order.